one | First-principles (PBE) data for an optimized crystal structure of BePRh, as listed in Alexandria via LeMat-Bulk.

Unit cell a=4.4603 b=3.4551 c=9.9409 alpha=90.00 beta=101.51 gamma=90.00
Fractional coordinates of all 12 atoms:
Rh 0.1367 0.5000 0.8352
Rh 0.9703 0.0000 0.0528
Rh 0.1367 0.0000 0.3352
Rh 0.9703 0.5000 0.5528
P 0.2900 0.0000 0.6841
P 0.6802 0.5000 0.9190
P 0.6802 0.0000 0.4190
P 0.2900 0.5000 0.1841
Be 0.7751 0.5000 0.1820
Be 0.4329 0.0000 0.9923
Be 0.7751 0.0000 0.6820
Be 0.4329 0.5000 0.4923

***

two | First-principles (PBE) data for an optimized crystal structure of BePRh, as listed in Alexandria via LeMat-Bulk.

Unit cell a=3.8540 b=3.8540 c=3.8540 alpha=60.00 beta=60.00 gamma=60.00
Fractional coordinates of all 3 atoms:
Be 0.0000 0.0000 0.0000
P 0.5000 0.5000 0.5000
Rh 0.7500 0.7500 0.7500

***

three | First-principles (PBE) data for an optimized crystal structure of BePRh, as listed in Alexandria via LeMat-Bulk.

Unit cell a=6.9623 b=6.9115 c=6.9115 alpha=54.39 beta=59.76 gamma=59.76
Fractional coordinates of all 18 atoms:
Rh 0.6111 0.6444 0.6447
Rh 0.9002 0.3556 0.3553
Rh 0.9002 0.8553 0.8556
Rh 0.2552 0.2500 0.7500
Rh 0.2552 0.7500 0.2500
Rh 0.6111 0.1447 0.1444
Be 0.9114 0.7501 0.2501
Be 0.2842 0.4369 0.9369
Be 0.9116 0.2499 0.7499
Be 0.6580 0.5631 0.0631
Be 0.6583 0.0632 0.5632
Be 0.2848 0.9368 0.4368
P 0.5008 0.0000 0.0000
P 0.9419 0.6533 0.6533
P 0.5008 0.5000 0.5000
P 0.9419 0.1533 0.1533
P 0.2486 0.8467 0.8467
P 0.2486 0.3467 0.3467

***

Result of the stability comparison: one is the most stable of them.

***

one | First-principles (PBE) data for an optimized crystal structure of BePRh, as listed in Alexandria via LeMat-Bulk.

Unit cell a=4.1788 b=3.5218 c=6.0563 alpha=90.00 beta=118.91 gamma=90.00
Fractional coordinates of all 6 atoms:
P 0.3490 0.0000 0.9996
P 0.3490 0.5000 0.4996
Be 0.0655 0.5000 0.0693
Be 0.0655 0.0000 0.5693
Rh 0.6961 0.5000 0.2810
Rh 0.6961 0.0000 0.7810

***

two | First-principles (PBE) data for an optimized crystal structure of BePRh, as listed in Alexandria via LeMat-Bulk.

Unit cell a=3.5503 b=3.5503 c=21.6956 alpha=90.00 beta=90.00 gamma=120.00
Fractional coordinates of all 18 atoms:
Rh 0.0000 0.0000 0.0000
Rh 0.0000 0.0000 0.5000
Rh 0.3333 0.6667 0.1667
Rh 0.6667 0.3333 0.3333
Rh 0.6667 0.3333 0.8333
Rh 0.3333 0.6667 0.6667
Be 0.0000 0.0000 0.8894
Be 0.3333 0.6667 0.7773
Be 0.6667 0.3333 0.4439
Be 0.0000 0.0000 0.1106
Be 0.3333 0.6667 0.5561
Be 0.6667 0.3333 0.2227
P 0.6667 0.3333 0.7265
P 0.0000 0.0000 0.6069
P 0.3333 0.6667 0.0598
P 0.6667 0.3333 0.9402
P 0.3333 0.6667 0.2735
P 0.0000 0.0000 0.3931

***

three | First-principles (PBE) data for an optimized crystal structure of BePRh, as listed in Alexandria via LeMat-Bulk.

Unit cell a=3.3600 b=7.7937 c=5.7609 alpha=90.00 beta=90.00 gamma=90.00
Fractional coordinates of all 12 atoms:
Be 0.0000 0.8983 0.0905
Be 0.0000 0.1017 0.5905
Be 0.5000 0.3983 0.0905
Be 0.5000 0.6017 0.5905
Rh 0.0000 0.4066 0.4476
Rh 0.0000 0.5934 0.9476
Rh 0.5000 0.9066 0.4476
Rh 0.5000 0.0934 0.9476
P 0.5000 0.8049 0.8431
P 0.5000 0.1951 0.3431
P 0.0000 0.3049 0.8431
P 0.0000 0.6951 0.3431

***

four | First-principles (PBE) data for an optimized crystal structure of BePRh, as listed in Alexandria via LeMat-Bulk.

Unit cell a=6.3497 b=5.0295 c=4.7249 alpha=90.00 beta=90.00 gamma=90.00
Fractional coordinates of all 12 atoms:
Be 0.8017 0.0000 0.0000
Be 0.1983 0.0000 0.5000
Be 0.6983 0.5000 0.5000
Be 0.3017 0.5000 0.0000
P 0.7943 0.0000 0.5000
P 0.2943 0.5000 0.5000
P 0.7057 0.5000 0.0000
P 0.2057 0.0000 0.0000
Rh 0.5000 0.1775 0.2500
Rh 0.0000 0.6775 0.2500
Rh 0.5000 0.8225 0.7500
Rh 0.0000 0.3225 0.7500

***

Result of the stability comparison: four is the most stable of them.

***

one | First-principles (PBE) data for an optimized crystal structure of BePRh, as listed in Alexandria via LeMat-Bulk.

Unit cell a=3.3233 b=7.8658 c=5.5135 alpha=90.00 beta=90.00 gamma=90.00
Fractional coordinates of all 12 atoms:
Be 0.5000 0.3546 0.9453
Be 0.0000 0.8546 0.9453
Be 0.0000 0.1454 0.4453
Be 0.5000 0.6454 0.4453
P 0.5000 0.3590 0.3309
P 0.5000 0.6410 0.8309
P 0.0000 0.1410 0.8309
P 0.0000 0.8590 0.3309
Rh 0.0000 0.4230 0.6393
Rh 0.0000 0.5770 0.1393
Rh 0.5000 0.0770 0.1393
Rh 0.5000 0.9230 0.6393

***

two | First-principles (PBE) data for an optimized crystal structure of BePRh, as listed in Alexandria via LeMat-Bulk.

Unit cell a=3.8175 b=3.8175 c=3.8175 alpha=60.00 beta=60.00 gamma=60.00
Fractional coordinates of all 3 atoms:
P 0.7500 0.7500 0.7500
Be 0.5000 0.5000 0.5000
Rh 0.0000 0.0000 0.0000

***

three | First-principles (PBE) data for an optimized crystal structure of BePRh, as listed in Alexandria via LeMat-Bulk.

Unit cell a=4.1913 b=4.1907 c=3.1564 alpha=67.89 beta=67.87 gamma=44.24
Fractional coordinates of all 3 atoms:
Be 0.9956 0.9956 0.0044
P 0.6742 0.6742 0.3258
Rh 0.3302 0.3302 0.6698

***

four | First-principles (PBE) data for an optimized crystal structure of BePRh, as listed in Alexandria via LeMat-Bulk.

Unit cell a=3.5909 b=4.2088 c=5.2836 alpha=102.68 beta=91.93 gamma=91.71
Fractional coordinates of all 6 atoms:
Be 0.2726 0.6359 0.4065
Be 0.7870 0.0877 0.9323
Rh 0.7463 0.6331 0.1062
Rh 0.2890 0.2377 0.6678
P 0.2589 0.7818 0.8489
P 0.7678 0.2170 0.3693

***

Result of the stability comparison: four is the most stable of them.

***

one | First-principles (PBE) data for an optimized crystal structure of BeP2Rh2, as listed in Alexandria via LeMat-Bulk.

Unit cell a=5.9794 b=5.9794 c=3.7494 alpha=90.00 beta=90.00 gamma=90.00
Fractional coordinates of all 10 atoms:
Be 0.0000 0.0000 0.0000
Be 0.5000 0.5000 0.0000
P 0.3765 0.8765 0.0000
P 0.1235 0.3765 0.0000
P 0.6235 0.1235 0.0000
P 0.8765 0.6235 0.0000
Rh 0.7333 0.7667 0.5000
Rh 0.2333 0.7333 0.5000
Rh 0.2667 0.2333 0.5000
Rh 0.7667 0.2667 0.5000

***

two | First-principles (PBE) data for an optimized crystal structure of BeP2Rh2, as listed in Alexandria via LeMat-Bulk.

Unit cell a=4.1085 b=4.1085 c=5.1788 alpha=66.63 beta=66.63 gamma=90.00
Fractional coordinates of all 5 atoms:
P 0.6215 0.6215 0.7571
P 0.3785 0.3785 0.2429
Rh 0.7500 0.2500 0.5000
Rh 0.2500 0.7500 0.5000
Be 0.0000 0.0000 0.0000

***

Result of the stability comparison: two is the most stable of them.

***

one | First-principles (PBE) data for an optimized crystal structure of Be3PRu, as listed in Alexandria via LeMat-Bulk.

Unit cell a=4.1474 b=4.1474 c=4.1474 alpha=90.00 beta=90.00 gamma=90.00
Fractional coordinates of all 5 atoms:
Be 0.5000 0.0000 0.0000
Be 0.0000 0.0000 0.5000
Be 0.0000 0.5000 0.0000
P 0.5000 0.5000 0.5000
Ru 0.0000 0.0000 0.0000

***

two | First-principles (PBE) data for an optimized crystal structure of Be3PRu, as listed in Alexandria via LeMat-Bulk.

Unit cell a=3.9749 b=3.9749 c=3.9749 alpha=90.00 beta=90.00 gamma=90.00
Fractional coordinates of all 5 atoms:
Be 0.0000 0.0000 0.5000
Be 0.0000 0.5000 0.0000
Be 0.5000 0.0000 0.0000
P 0.0000 0.0000 0.0000
Ru 0.5000 0.5000 0.5000

***

Result of the stability comparison: two is the most stable of them.

***

one | First-principles (PBE) data for an optimized crystal structure of BePRu, as listed in Alexandria via LeMat-Bulk.

Unit cell a=5.9559 b=5.6673 c=2.7616 alpha=82.16 beta=70.50 gamma=27.34
Fractional coordinates of all 3 atoms:
P 0.3350 0.3350 0.6650
Ru 0.6673 0.6673 0.3327
Be 0.9977 0.9977 0.0023

***

two | First-principles (PBE) data for an optimized crystal structure of BePRu, as listed in Alexandria via LeMat-Bulk.

Unit cell a=3.8625 b=3.8625 c=2.9508 alpha=90.00 beta=90.00 gamma=120.00
Fractional coordinates of all 3 atoms:
P 0.6667 0.3333 0.4997
Be 0.0000 0.0000 0.0005
Ru 0.3333 0.6667 0.4998

***

three | First-principles (PBE) data for an optimized crystal structure of BePRu, as listed in Alexandria via LeMat-Bulk.

Unit cell a=4.2296 b=4.2296 c=4.2296 alpha=139.47 beta=135.77 gamma=61.53
Fractional coordinates of all 3 atoms:
P 0.6688 0.6688 0.0000
Be 0.0009 0.0009 0.0000
Ru 0.3303 0.3303 0.0000

***

Result of the stability comparison: three is the most stable of them.

***

one | First-principles (PBE) data for an optimized crystal structure of BePRu, as listed in Alexandria via LeMat-Bulk.

Unit cell a=3.7898 b=3.7898 c=3.7898 alpha=60.00 beta=60.00 gamma=60.00
Fractional coordinates of all 3 atoms:
P 0.7500 0.7500 0.7500
Be 0.5000 0.5000 0.5000
Ru 0.0000 0.0000 0.0000

***

two | First-principles (PBE) data for an optimized crystal structure of BePRu, as listed in Alexandria via LeMat-Bulk.

Unit cell a=3.8408 b=3.8408 c=3.8408 alpha=60.00 beta=60.00 gamma=60.00
Fractional coordinates of all 3 atoms:
Ru 0.7500 0.7500 0.7500
Be 0.0000 0.0000 0.0000
P 0.5000 0.5000 0.5000

***

Result of the stability comparison: one is the most stable of them.

***

one | First-principles (PBE) data for an optimized crystal structure of Be2PRu2, as listed in Alexandria via LeMat-Bulk.

Unit cell a=5.9776 b=5.9776 c=3.0646 alpha=90.00 beta=90.00 gamma=90.00
Fractional coordinates of all 10 atoms:
Ru 0.1754 0.6754 0.5000
Ru 0.8246 0.3246 0.5000
Ru 0.6754 0.8246 0.5000
Ru 0.3246 0.1754 0.5000
Be 0.1226 0.3774 0.0000
Be 0.8774 0.6226 0.0000
Be 0.6226 0.1226 0.0000
Be 0.3774 0.8774 0.0000
P 0.5000 0.5000 0.0000
P 0.0000 0.0000 0.0000

***

two | First-principles (PBE) data for an optimized crystal structure of Be2PRu2, as listed in Alexandria via LeMat-Bulk.

Unit cell a=6.2089 b=6.2089 c=4.6591 alpha=45.14 beta=45.14 gamma=27.69
Fractional coordinates of all 5 atoms:
Be 0.5852 0.5852 0.5084
Be 0.4148 0.4148 0.4916
Ru 0.6965 0.6965 0.8461
Ru 0.3035 0.3035 0.1539
P 0.0000 0.0000 0.0000

***

Result of the stability comparison: two is the most stable of them.